VASP calculation (PBE) on crystalline Pm3Zn3Ir2 at its relaxed geometry.

a = 5.6603 Å, b = 7.6672 Å, c = 16.0429 Å
α = 90.00°, β = 90.00°, γ = 90.00°
Closest atoms and distances in Å follow each position.
Fractional coordinates of all 32 atoms:
Zn 0.0986 0.1706 0.5330  3 Ir 2.57-2.68
Zn 0.9014 0.8294 0.4670  3 Ir 2.57-2.68
Zn 0.5986 0.3294 0.4670  3 Ir 2.57-2.68
Zn 0.1305 0.1753 0.2500  2 Ir 2.65
Zn 0.6305 0.3247 0.7500  2 Ir 2.65
Zn 0.8695 0.8247 0.7500  2 Ir 2.65
Zn 0.4014 0.6706 0.9670  3 Ir 2.57-2.68
Zn 0.9014 0.8294 0.0330  3 Ir 2.57-2.68
Zn 0.3695 0.6753 0.2500  2 Ir 2.65
Zn 0.4014 0.6706 0.5330  3 Ir 2.57-2.68
Zn 0.5986 0.3294 0.0330  3 Ir 2.57-2.68
Zn 0.0986 0.1706 0.9670  3 Ir 2.57-2.68
Pm 0.1397 0.1669 0.7500  3 Zn 3.03-3.13, 4 Ir 3.04-3.13
Pm 0.3872 0.9631 0.1058  3 Ir 2.93-3.14, 6 Zn 3.16-3.27
Pm 0.3603 0.6669 0.7500  3 Zn 3.03-3.13, 4 Ir 3.04-3.13
Pm 0.1128 0.4631 0.1058  3 Ir 2.93-3.14, 6 Zn 3.16-3.27
Pm 0.1128 0.4631 0.3942  3 Ir 2.93-3.14, 6 Zn 3.16-3.27
Pm 0.3872 0.9631 0.3942  3 Ir 2.93-3.14, 6 Zn 3.16-3.27
Pm 0.6128 0.0369 0.8942  3 Ir 2.93-3.14, 6 Zn 3.16-3.27
Pm 0.6128 0.0369 0.6058  3 Ir 2.93-3.14, 6 Zn 3.16-3.27
Pm 0.8872 0.5369 0.8942  3 Ir 2.93-3.14, 6 Zn 3.16-3.27
Pm 0.8603 0.8331 0.2500  3 Zn 3.03-3.13, 4 Ir 3.04-3.13
Pm 0.6397 0.3331 0.2500  3 Zn 3.03-3.13, 4 Ir 3.04-3.13
Pm 0.8872 0.5369 0.6058  3 Ir 2.93-3.14, 6 Zn 3.16-3.27
Ir 0.1226 0.8766 0.8871  4 Zn 2.57-2.68
Ir 0.3774 0.3766 0.6129  4 Zn 2.57-2.68
Ir 0.3774 0.3766 0.8871  4 Zn 2.57-2.68
Ir 0.1226 0.8766 0.6129  4 Zn 2.57-2.68
Ir 0.6226 0.6234 0.3871  4 Zn 2.57-2.68
Ir 0.6226 0.6234 0.1129  4 Zn 2.57-2.68
Ir 0.8774 0.1234 0.1129  4 Zn 2.57-2.68
Ir 0.8774 0.1234 0.3871  4 Zn 2.57-2.68

crystal system: orthorhombic
space group: Pnma (62)
M_tot: 0.00 μB/cell

VASP calculation (PBE) on crystalline Pm2Zn2Ir at its relaxed geometry.

a = 4.0334 Å, b = 5.7445 Å, c = 10.7202 Å
α = 79.56°, β = 79.16°, γ = 69.45°
Closest atoms and distances in Å follow each position.
Fractional coordinates of all 10 atoms:
Zn 0.1701 0.2091 0.4507  3 Ir 2.61-2.77
Zn 0.8299 0.7909 0.5493  3 Ir 2.61-2.77
Zn 0.0230 0.8453 0.1087  1 Zn 2.66, 1 Ir 2.66
Zn 0.9770 0.1547 0.8913  1 Zn 2.66, 1 Ir 2.66
Ir 0.7997 0.0869 0.3137  4 Zn 2.61-2.77, 2 Pm 2.91
Ir 0.2003 0.9131 0.6863  4 Zn 2.61-2.77, 2 Pm 2.91
Pm 0.5053 0.3282 0.6613  3 Ir 3.00-3.19, 7 Zn 3.12-3.30
Pm 0.3046 0.2662 0.1245  2 Ir 2.91, 3 Zn 3.05-3.10
Pm 0.4947 0.6718 0.3387  3 Ir 3.00-3.19, 7 Zn 3.12-3.30
Pm 0.6954 0.7338 0.8755  2 Ir 2.91, 3 Zn 3.05-3.10

crystal system: monoclinic
space group: C2/m (12)
M_tot: 0.00 μB/cell

VASP calculation (PBE) on crystalline PmZnIr2 at its relaxed geometry.

a = 3.8445 Å, b = 4.2913 Å, c = 4.2913 Å
α = 90.00°, β = 90.00°, γ = 90.00°
Closest atoms and distances in Å follow each position.
Fractional coordinates of all 4 atoms:
Ir 0.0000 0.0000 0.5000  4 Zn 2.88, 4 Pm 2.88, 4 Ir 3.03
Ir 0.0000 0.5000 0.0000  4 Pm 2.88, 4 Zn 2.88, 4 Ir 3.03
Zn 0.5000 0.0000 0.0000  8 Ir 2.88, 4 Pm 3.03
Pm 0.5000 0.5000 0.5000  8 Ir 2.88, 4 Zn 3.03

crystal system: tetragonal
space group: P4/mmm (123)
M_tot: 0.00 μB/cell

VASP calculation (PBE) on crystalline Pm2Zn3Ir at its relaxed geometry.

a = 4.3813 Å, b = 5.5909 Å, c = 5.9623 Å
α = 76.17°, β = 68.44°, γ = 66.93°
Closest atoms and distances in Å follow each position.
Fractional coordinates of all 6 atoms:
Zn 0.8309 0.2377 0.1006  2 Ir 2.64, 2 Zn 2.75-2.84
Zn 0.1732 0.7507 0.9029  3 Zn 2.57-2.84, 1 Ir 2.81
Zn 0.8372 0.6160 0.7096  3 Zn 2.57-2.75, 1 Ir 2.61
Pm 0.4518 0.8068 0.2897  3 Ir 2.97-3.09, 7 Zn 3.10-3.27
Pm 0.5555 0.2081 0.6809  9 Zn 3.03-3.35, 2 Ir 3.05
Ir 0.1515 0.3807 0.3164  4 Zn 2.61-2.81

crystal system: monoclinic
space group: Cm (8)
M_tot: 0.00 μB/cell

VASP calculation (PBE) on crystalline Pm8Zn2Ir at its relaxed geometry.

a = 5.1987 Å, b = 6.8333 Å, c = 9.3972 Å
α = 101.04°, β = 106.06°, γ = 90.00°
Closest atoms and distances in Å follow each position.
Fractional coordinates of all 11 atoms:
Pm 0.3433 0.0408 0.6866  1 Ir 2.90, 3 Zn 3.04-3.13
Pm 0.2017 0.3193 0.4034  1 Zn 2.93
Pm 0.9718 0.2175 0.9436  1 Zn 3.06, 2 Ir 3.09, 1 Pm 3.33
Pm 0.4113 0.5661 0.8225  1 Ir 3.08
Pm 0.0282 0.7825 0.0564  1 Zn 3.06, 2 Ir 3.09, 1 Pm 3.33
Pm 0.6567 0.9592 0.3134  1 Ir 2.90, 3 Zn 3.04-3.13
Pm 0.5887 0.4339 0.1775  1 Ir 3.08
Pm 0.7983 0.6807 0.5966  1 Zn 2.93
Zn 0.8061 0.2568 0.6122  5 Pm 2.93-3.13
Zn 0.1939 0.7432 0.3878  5 Pm 2.93-3.13
Ir 0.5000 0.0000 0.0000  8 Pm 2.90-3.09

crystal system: monoclinic
space group: C2/m (12)
M_tot: 0.00 μB/cell

VASP calculation (PBE) on crystalline PmZn3Ir2 at its relaxed geometry.

a = 5.7224 Å, b = 6.1520 Å, c = 6.1520 Å
α = 95.04°, β = 90.00°, γ = 90.00°
Closest atoms and distances in Å follow each position.
Fractional coordinates of all 12 atoms:
Zn 0.2500 0.9137 0.5596  4 Ir 2.55-2.67, 1 Zn 2.59
Zn 0.7500 0.0185 0.0185  4 Ir 2.58, 4 Zn 2.59-2.88
Zn 0.7500 0.4404 0.0863  4 Ir 2.55-2.67, 1 Zn 2.59
Zn 0.2500 0.9815 0.9815  4 Ir 2.58, 4 Zn 2.59-2.88
Zn 0.2500 0.5596 0.9137  4 Ir 2.55-2.67, 1 Zn 2.59
Zn 0.7500 0.0863 0.4404  4 Ir 2.55-2.67, 1 Zn 2.59
Pm 0.2500 0.3538 0.3538  4 Ir 3.04, 7 Zn 3.09-3.37
Pm 0.7500 0.6462 0.6462  4 Ir 3.04, 7 Zn 3.09-3.37
Ir 0.0000 0.7634 0.2366  6 Zn 2.55-2.67
Ir 0.5000 0.7634 0.2366  6 Zn 2.55-2.67
Ir 0.5000 0.2366 0.7634  6 Zn 2.55-2.67
Ir 0.0000 0.2366 0.7634  6 Zn 2.55-2.67

crystal system: orthorhombic
space group: Cmcm (63)
M_tot: 0.00 μB/cell

VASP calculation (PBE) on crystalline Pm8ZnIr2 at its relaxed geometry.

a = 5.0456 Å, b = 7.0730 Å, c = 9.3195 Å
α = 102.99°, β = 105.71°, γ = 90.00°
Closest atoms and distances in Å follow each position.
Fractional coordinates of all 11 atoms:
Pm 0.7987 0.6734 0.5974  3 Ir 2.85-3.18
Pm 0.3294 0.0346 0.6587  3 Ir 2.81-3.14, 1 Zn 3.13
Pm 0.2013 0.3266 0.4026  3 Ir 2.85-3.18
Pm 0.9617 0.2314 0.9234  1 Ir 2.95, 2 Zn 3.17
Pm 0.5916 0.4568 0.1832  1 Zn 3.27, 8 Pm 3.45-3.62, 2 Ir 3.46
Pm 0.0383 0.7686 0.0766  1 Ir 2.95, 2 Zn 3.17
Pm 0.6706 0.9654 0.3413  3 Ir 2.81-3.14, 1 Zn 3.13
Pm 0.4084 0.5432 0.8168  1 Zn 3.27, 8 Pm 3.45-3.62, 2 Ir 3.46
Ir 0.8020 0.2730 0.6039  5 Pm 2.81-3.14
Ir 0.1980 0.7270 0.3961  5 Pm 2.81-3.14
Zn 0.5000 0.0000 0.0000  8 Pm 3.13-3.27

crystal system: monoclinic
space group: C2/m (12)
M_tot: 0.00 μB/cell

VASP calculation (PBE) on crystalline PmZn4Ir2 at its relaxed geometry.

a = 4.1054 Å, b = 7.7093 Å, c = 7.7093 Å
α = 90.00°, β = 90.00°, γ = 90.00°
Closest atoms and distances in Å follow each position.
Fractional coordinates of all 14 atoms:
Zn 0.0000 0.9082 0.6535  3 Ir 2.57-2.58, 6 Zn 2.76-2.83
Zn 0.0000 0.6535 0.9082  3 Ir 2.57-2.58, 6 Zn 2.76-2.83
Zn 0.5000 0.8465 0.4082  3 Ir 2.57-2.58, 6 Zn 2.76-2.83
Zn 0.0000 0.0918 0.3465  3 Ir 2.57-2.58, 6 Zn 2.76-2.83
Zn 0.5000 0.1535 0.5918  3 Ir 2.57-2.58, 6 Zn 2.76-2.83
Zn 0.0000 0.3465 0.0918  3 Ir 2.57-2.58, 6 Zn 2.76-2.83
Zn 0.5000 0.5918 0.1535  3 Ir 2.57-2.58, 6 Zn 2.76-2.83
Zn 0.5000 0.4082 0.8465  3 Ir 2.57-2.58, 6 Zn 2.76-2.83
Ir 0.5000 0.7142 0.7142  6 Zn 2.57-2.58
Ir 0.5000 0.2858 0.2858  6 Zn 2.57-2.58
Ir 0.0000 0.2142 0.7858  6 Zn 2.57-2.58
Ir 0.0000 0.7858 0.2142  6 Zn 2.57-2.58
Pm 0.0000 0.5000 0.5000  6 Ir 3.11-3.12, 12 Zn 3.36-3.44
Pm 0.5000 0.0000 0.0000  6 Ir 3.11-3.12, 12 Zn 3.36-3.44

crystal system: tetragonal
space group: P4_2/mnm (136)
M_tot: 0.00 μB/cell

So what do the calculations give for ΔH_f (0 K)? Going down the list: -52.2, -48.5, -30.2, -46.1, -23.0, -40.3, -32.8, -37.8 kJ/mol of atoms.
So what do the calculations give for N(E_F)? Going down the list: 0.59, 0.62, 0.56, 0.61, 0.88, 0.48, 0.93, 0.27 states/eV per atom.